Entry 1:
{"formula": "MnZnNiAs", "functional": "GGA-PBE", "state": "optimized geometry", "cell": [[4.172, 0.000, 0.000], [0.000, 1.464, 4.656], [0.000, -1.464, 4.656]], "species": ["Mn", "Zn", "Ni", "As"], "fractional_positions": [[0.000, 0.000, 0.000], [0.500, 0.645, 0.645], [0.500, 0.387, 0.387], [0.000, 0.272, 0.272]], "formation_enthalpy_0k_ev_per_atom": -0.030, "e_above_lowest_polymorph_mev_per_atom": 33, "spacegroup": "Amm2", "dos_ef_per_ev_cell": 2.027}


Entry 2:
{"formula": "La2SbF3", "functional": "GGA-PBE", "state": "optimized geometry", "cell": [[7.848, -2.104, 0.000], [7.848, 2.104, 0.000], [-3.460, 0.000, 7.429]], "species": ["La", "La", "La", "La", "Sb", "Sb", "F", "F", "F", "F", "F", "F"], "fractional_positions": [[0.025, 0.025, 0.247], [0.297, 0.297, 0.301], [0.703, 0.703, 0.699], [0.975, 0.975, 0.753], [0.367, 0.367, 0.956], [0.633, 0.633, 0.044], [0.101, 0.101, 0.656], [0.192, 0.192, 0.454], [0.438, 0.438, 0.587], [0.562, 0.562, 0.413], [0.808, 0.808, 0.546], [0.899, 0.899, 0.344]], "formation_energy_uncorrected_ev_per_atom": -3.1366, "spacegroup": "C2/m"}


Entry 3:
{"formula": "Ba2Hg2SbO6", "functional": "GGA-PBE", "state": "optimized geometry", "cell": [[3.271, 1.888, 5.603], [-3.271, 1.888, 5.603], [0.000, -3.777, 5.603]], "species": ["Ba", "Ba", "Hg", "Hg", "Sb", "O", "O", "O", "O", "O", "O"], "fractional_positions": [[0.211, 0.211, 0.211], [0.789, 0.789, 0.789], [0.416, 0.416, 0.416], [0.584, 0.584, 0.584], [0.000, 0.000, 0.000], [0.195, 0.784, 0.784], [0.216, 0.216, 0.805], [0.216, 0.805, 0.216], [0.784, 0.195, 0.784], [0.784, 0.784, 0.195], [0.805, 0.216, 0.216]], "formation_energy_uncorrected_ev_per_atom": -1.3971, "spacegroup": "R-3m", "dos_ef_per_ev_cell": 1.704}


Entry 4:
{"formula": "YbSi3", "functional": "GGA-PBE", "state": "optimized geometry", "cell": [[-3.583, 3.583, 5.423], [3.583, -3.583, 5.423], [3.583, 3.583, -5.423]], "species": ["Yb", "Yb", "Yb", "Yb", "Si", "Si", "Si", "Si", "Si", "Si", "Si", "Si", "Si", "Si", "Si", "Si"], "fractional_positions": [[0.171, 0.171, 0.000], [0.250, 0.750, 0.500], [0.750, 0.250, 0.500], [0.829, 0.829, 0.000], [0.000, 0.329, 0.329], [0.000, 0.671, 0.671], [0.204, 0.204, 0.631], [0.204, 0.572, 0.000], [0.329, 0.000, 0.329], [0.428, 0.428, 0.631], [0.428, 0.796, 0.000], [0.572, 0.204, 0.000], [0.572, 0.572, 0.369], [0.671, 0.000, 0.671], [0.796, 0.428, 0.000], [0.796, 0.796, 0.369]], "formation_energy_uncorrected_ev_per_atom": -0.3070, "spacegroup": "I4/mmm", "dos_ef_per_ev_cell": 7.163}


Entry 5:
{"formula": "ThB4Os4", "functional": "GGA-PBE", "state": "optimized geometry", "cell": [[5.466, 0.000, 0.000], [0.000, 5.466, 0.000], [0.000, 0.000, 7.473]], "species": ["Th", "Th", "B", "B", "B", "B", "B", "B", "B", "B", "Os", "Os", "Os", "Os", "Os", "Os", "Os", "Os"], "fractional_positions": [[0.250, 0.750, 0.250], [0.750, 0.250, 0.750], [0.077, 0.250, 0.094], [0.250, 0.077, 0.594], [0.250, 0.423, 0.594], [0.423, 0.250, 0.094], [0.577, 0.750, 0.906], [0.750, 0.577, 0.406], [0.750, 0.923, 0.406], [0.923, 0.750, 0.906], [0.006, 0.750, 0.614], [0.250, 0.506, 0.886], [0.250, 0.994, 0.886], [0.494, 0.750, 0.614], [0.506, 0.250, 0.386], [0.750, 0.006, 0.114], [0.750, 0.494, 0.114], [0.994, 0.250, 0.386]], "formation_enthalpy_0k_ev_per_atom": -0.346, "e_above_lowest_polymorph_mev_per_atom": 94, "spacegroup": "P4_2/nmc", "dos_ef_per_ev_cell": 7.454}


Entry 6:
{"formula": "PaInPd6", "functional": "GGA-PBE", "state": "optimized geometry", "cell": [[4.112, 0.000, 0.000], [0.000, 4.112, 0.000], [0.000, 0.000, 8.121]], "species": ["Pa", "In", "Pd", "Pd", "Pd", "Pd", "Pd", "Pd"], "fractional_positions": [[0.000, 0.000, 0.000], [0.000, 0.000, 0.500], [0.000, 0.500, 0.247], [0.000, 0.500, 0.753], [0.500, 0.000, 0.247], [0.500, 0.000, 0.753], [0.500, 0.500, 0.000], [0.500, 0.500, 0.500]], "formation_enthalpy_0k_ev_per_atom": -0.693, "e_above_lowest_polymorph_mev_per_atom": 0, "spacegroup": "P4/mmm", "dos_ef_per_ev_cell": 1.389}


Entry 7:
{"formula": "La4Te2PRh", "functional": "GGA-PBE", "state": "optimized geometry", "cell": [[7.580, 0.000, 0.000], [0.000, 4.336, 0.000], [-2.406, 0.000, 7.478]], "species": ["La", "La", "La", "La", "Te", "Te", "P", "Rh"], "fractional_positions": [[0.239, 0.000, 0.215], [0.255, 0.500, 0.788], [0.745, 0.500, 0.212], [0.761, 0.000, 0.785], [0.000, 0.000, 0.500], [0.500, 0.500, 0.500], [0.500, 0.000, 0.000], [0.000, 0.500, 0.000]], "formation_energy_uncorrected_ev_per_atom": -1.3684, "spacegroup": "P2/m", "dos_ef_per_ev_cell": 6.729}


Entry 8:
{"formula": "LiCaPa2Pt4", "functional": "GGA-PBE", "state": "optimized geometry", "cell": [[2.398, 1.385, 8.297], [-2.398, 1.385, 8.297], [0.000, -2.769, 8.297]], "species": ["Li", "Ca", "Pa", "Pa", "Pt", "Pt", "Pt", "Pt"], "fractional_positions": [[0.000, 0.000, 0.000], [0.500, 0.500, 0.500], [0.259, 0.259, 0.259], [0.741, 0.741, 0.741], [0.108, 0.108, 0.108], [0.378, 0.378, 0.378], [0.622, 0.622, 0.622], [0.892, 0.892, 0.892]], "formation_enthalpy_0k_ev_per_atom": -0.831, "spacegroup": "R-3m", "dos_ef_per_ev_cell": 8.011}


Entry 9:
{"formula": "Ba6LiIn", "functional": "GGA-PBE", "state": "optimized geometry", "cell": [[-3.080, 3.080, 10.970], [3.080, -3.080, 10.970], [3.080, 3.080, -10.970]], "species": ["Ba", "Ba", "Ba", "Ba", "Ba", "Ba", "Li", "In"], "fractional_positions": [[0.092, 0.592, 0.500], [0.248, 0.248, 0.000], [0.408, 0.908, 0.500], [0.592, 0.092, 0.500], [0.752, 0.752, 0.000], [0.908, 0.408, 0.500], [0.500, 0.500, 0.000], [0.000, 0.000, 0.000]], "formation_enthalpy_0k_ev_per_atom": -0.097, "spacegroup": "I4/mmm", "dos_ef_per_ev_cell": 10.550}


Entry 10:
{"formula": "Nd12Tl6Au", "functional": "GGA-PBE", "state": "optimized geometry", "cell": [[6.068, 3.503, 4.676], [-6.068, 3.503, 4.676], [0.000, -7.006, 4.676]], "species": ["Nd", "Nd", "Nd", "Nd", "Nd", "Nd", "Nd", "Nd", "Nd", "Nd", "Nd", "Nd", "Tl", "Tl", "Tl", "Tl", "Tl", "Tl", "Au"], "fractional_positions": [[0.047, 0.102, 0.356], [0.102, 0.356, 0.047], [0.193, 0.454, 0.566], [0.356, 0.047, 0.102], [0.434, 0.807, 0.546], [0.454, 0.566, 0.193], [0.546, 0.434, 0.807], [0.566, 0.193, 0.454], [0.644, 0.953, 0.898], [0.807, 0.546, 0.434], [0.898, 0.644, 0.953], [0.953, 0.898, 0.644], [0.126, 0.728, 0.291], [0.272, 0.709, 0.874], [0.291, 0.126, 0.728], [0.709, 0.874, 0.272], [0.728, 0.291, 0.126], [0.874, 0.272, 0.709], [0.000, 0.000, 0.000]], "formation_enthalpy_0k_ev_per_atom": -0.205, "spacegroup": "R-3", "dos_ef_per_ev_cell": 18.329}


Entry 11:
{"formula": "LiAl2HgRh", "functional": "GGA-PBE", "state": "optimized geometry", "cell": [[4.672, 0.000, 0.000], [0.000, 4.672, 0.000], [0.000, 0.000, 5.291]], "species": ["Li", "Al", "Al", "Hg", "Rh"], "fractional_positions": [[0.000, 0.000, 0.000], [0.000, 0.500, 0.500], [0.500, 0.000, 0.500], [0.500, 0.500, 0.000], [0.500, 0.500, 0.500]], "formation_enthalpy_0k_ev_per_atom": -0.145, "spacegroup": "P4/mmm", "dos_ef_per_ev_cell": 1.770}


Entry 12:
{"formula": "Ta4NiP", "functional": "GGA-PBE", "state": "optimized geometry", "cell": [[6.165, 0.000, 0.000], [0.000, 6.165, 0.000], [0.000, 0.000, 4.955]], "species": ["Ta", "Ta", "Ta", "Ta", "Ta", "Ta", "Ta", "Ta", "Ni", "Ni", "P", "P"], "fractional_positions": [[0.161, 0.337, 0.000], [0.161, 0.663, 0.500], [0.337, 0.161, 0.500], [0.337, 0.839, 0.000], [0.663, 0.161, 0.000], [0.663, 0.839, 0.500], [0.839, 0.337, 0.500], [0.839, 0.663, 0.000], [0.000, 0.000, 0.250], [0.000, 0.000, 0.750], [0.500, 0.500, 0.250], [0.500, 0.500, 0.750]], "formation_enthalpy_0k_ev_per_atom": -0.457, "spacegroup": "P4/mcc", "dos_ef_per_ev_cell": 8.678}


Entry 13:
{"formula": "CsKHF", "functional": "GGA-PBE", "state": "optimized geometry", "cell": [[0.000, 3.576, 3.576], [3.576, 0.000, 3.576], [3.576, 3.576, 0.000]], "species": ["Cs", "K", "H", "F"], "fractional_positions": [[0.000, 0.000, 0.000], [0.500, 0.500, 0.500], [0.250, 0.250, 0.250], [0.750, 0.750, 0.750]], "e_above_lowest_polymorph_mev_per_atom": 74, "spacegroup": "F-43m", "dos_ef_per_ev_cell": 0.000}


Entry 14:
{"formula": "KTlCo2W", "functional": "GGA-PBE", "state": "optimized geometry", "cell": [[4.219, 0.000, 0.000], [0.000, 4.219, 0.000], [0.000, 0.000, 5.326]], "species": ["K", "Tl", "Co", "Co", "W"], "fractional_positions": [[0.000, 0.000, 0.000], [0.000, 0.000, 0.500], [0.000, 0.500, 0.000], [0.500, 0.000, 0.000], [0.500, 0.500, 0.500]], "formation_enthalpy_0k_ev_per_atom": 2.743, "spacegroup": "P4/mmm", "dos_ef_per_ev_cell": 5.979}


Entry 15:
{"formula": "Tl2CrCu", "functional": "GGA-PBE", "state": "optimized geometry", "cell": [[0.000, 3.487, 3.487], [3.487, 0.000, 3.487], [3.487, 3.487, 0.000]], "species": ["Tl", "Tl", "Cr", "Cu"], "fractional_positions": [[0.000, 0.000, 0.000], [0.250, 0.250, 0.250], [0.750, 0.750, 0.750], [0.500, 0.500, 0.500]], "formation_enthalpy_0k_ev_per_atom": 0.610, "e_above_lowest_polymorph_mev_per_atom": 184, "spacegroup": "F-43m", "dos_ef_per_ev_cell": 2.286}


Entry 16:
{"formula": "LiPIO2", "functional": "GGA-PBE", "state": "optimized geometry", "cell": [[3.918, 0.000, 0.000], [0.000, 3.918, 0.000], [0.000, 0.000, 5.270]], "species": ["Li", "P", "I", "O", "O"], "fractional_positions": [[0.000, 0.000, 0.000], [0.000, 0.000, 0.500], [0.500, 0.500, 0.500], [0.000, 0.500, 0.000], [0.500, 0.000, 0.000]], "formation_energy_uncorrected_ev_per_atom": 0.4413, "e_above_lowest_polymorph_mev_per_atom": 1181, "spacegroup": "P4/mmm", "dos_ef_per_ev_cell": 4.138}


Entry 17:
{"formula": "PrZnNi5", "functional": "GGA-PBE", "state": "optimized geometry", "cell": [[8.004, 0.000, 0.000], [0.000, 4.890, 0.000], [0.000, 0.000, 10.115]], "species": ["Pr", "Pr", "Pr", "Pr", "Zn", "Zn", "Zn", "Zn", "Ni", "Ni", "Ni", "Ni", "Ni", "Ni", "Ni", "Ni", "Ni", "Ni", "Ni", "Ni", "Ni", "Ni", "Ni", "Ni", "Ni", "Ni", "Ni", "Ni"], "fractional_positions": [[0.243, 0.250, 0.059], [0.257, 0.750, 0.559], [0.743, 0.250, 0.441], [0.757, 0.750, 0.941], [0.144, 0.750, 0.858], [0.356, 0.250, 0.358], [0.644, 0.750, 0.642], [0.856, 0.250, 0.142], [0.054, 0.750, 0.102], [0.066, 0.003, 0.309], [0.066, 0.497, 0.309], [0.094, 0.250, 0.517], [0.186, 0.250, 0.750], [0.314, 0.750, 0.250], [0.406, 0.750, 0.017], [0.434, 0.503, 0.809], [0.434, 0.997, 0.809], [0.446, 0.250, 0.602], [0.554, 0.750, 0.398], [0.566, 0.003, 0.191], [0.566, 0.497, 0.191], [0.594, 0.250, 0.983], [0.686, 0.250, 0.750], [0.814, 0.750, 0.250], [0.906, 0.750, 0.483], [0.934, 0.503, 0.691], [0.934, 0.997, 0.691], [0.946, 0.250, 0.898]], "formation_enthalpy_0k_ev_per_atom": -0.243, "spacegroup": "Pnma", "dos_ef_per_ev_cell": 38.495}


Entry 18:
{"formula": "AcHgPdPb", "functional": "GGA-PBE", "state": "optimized geometry", "cell": [[0.000, 3.760, 3.760], [3.760, 0.000, 3.760], [3.760, 3.760, 0.000]], "species": ["Ac", "Hg", "Pd", "Pb"], "fractional_positions": [[0.000, 0.000, 0.000], [0.750, 0.750, 0.750], [0.250, 0.250, 0.250], [0.500, 0.500, 0.500]], "formation_enthalpy_0k_ev_per_atom": -0.487, "spacegroup": "F-43m", "dos_ef_per_ev_cell": 2.435}


Entry 19:
{"formula": "Zr2RuN", "functional": "GGA-PBE", "state": "optimized geometry", "cell": [[1.605, 0.926, 6.921], [-1.605, 0.926, 6.921], [0.000, -1.853, 6.921]], "species": ["Zr", "Zr", "Ru", "N"], "fractional_positions": [[0.232, 0.232, 0.232], [0.768, 0.768, 0.768], [0.000, 0.000, 0.000], [0.500, 0.500, 0.500]], "formation_energy_uncorrected_ev_per_atom": -0.9250, "spacegroup": "R-3m", "dos_ef_per_ev_cell": 1.293}


Entry 20:
{"formula": "HfSnWCl2", "functional": "GGA-PBE", "state": "optimized geometry", "cell": [[5.012, 0.000, 0.000], [0.000, 5.012, 0.000], [0.000, 0.000, 5.739]], "species": ["Hf", "Sn", "W", "Cl", "Cl"], "fractional_positions": [[0.000, 0.000, 0.000], [0.500, 0.500, 0.500], [0.500, 0.500, 0.000], [0.000, 0.500, 0.500], [0.500, 0.000, 0.500]], "formation_energy_uncorrected_ev_per_atom": 1.3345, "spacegroup": "P4/mmm", "dos_ef_per_ev_cell": 3.483}


Looking at calculated density for the records above, in order, we have 7.414, 6.181, 7.147, 6.137, 15.412, 11.907, 6.383, 12.951, 3.773, 8.782, 5.239, 14.343, 3.487, 9.548, 10.264, 4.039, 8.386, 11.579, 8.002, 6.357 g/cm3.